(1)
Compound: Pm3Er5Bi8
Source: Alexandria
Functional: PBE-GGA
Structure: optimized geometry

Cell lengths 9.000, 9.000, 8.992 Å; angles 59.97, 59.97, 60.00 degrees
Sites, in units of the cell vectors:
Bi (0.250, 0.250, 0.756)
Er (0.500, 0.000, 0.000)
Er (0.000, 0.500, 0.000)
Er (0.500, 0.500, 0.000)
Er (0.000, 0.000, 0.000)
Bi (0.256, 0.750, 0.244)
Bi (0.747, 0.747, 0.759)
Bi (0.744, 0.250, 0.756)
Bi (0.253, 0.253, 0.241)
Bi (0.750, 0.750, 0.244)
Pm (0.000, 0.500, 0.500)
Bi (0.250, 0.744, 0.756)
Bi (0.750, 0.256, 0.244)
Pm (0.000, 0.000, 0.500)
Pm (0.500, 0.000, 0.500)
Er (0.500, 0.500, 0.500)

**Crystal system**: trigonal
**Space-group type**: R-3m, No. 166
**DFT total energy**: -81.81 eV/cell
**Formation enthalpy at 0 K**: -0.856 eV/atom



(2)
Compound: TiZnIr
Source: Alexandria
Functional: PBE-GGA
Structure: optimized geometry

Cell lengths 6.813, 6.813, 7.649 Å; angles 126.28, 126.28, 70.82 degrees
Sites, in units of the cell vectors:
Zn (0.625, 0.875, 0.250)
Zn (0.625, 0.375, 0.750)
Zn (0.625, 0.375, 0.250)
Ti (0.389, 0.889, 0.500)
Ti (0.139, 0.139, 0.000)
Ir (0.809, 0.809, 0.618)
Ti (0.861, 0.861, 0.000)
Ir (0.059, 0.559, 0.118)
Zn (0.125, 0.375, 0.750)
Ir (0.191, 0.191, 0.382)
Ir (0.441, 0.941, 0.882)
Ti (0.111, 0.611, 0.500)

**Crystal system**: orthorhombic
**Space-group type**: Fddd, No. 70
**DFT total energy**: -74.18 eV/cell
**Formation enthalpy at 0 K**: -0.171 eV/atom



(3)
Compound: La2InGa3Pd4
Source: Alexandria
Functional: PBE-GGA
Structure: optimized geometry

Cell lengths 4.361, 4.361, 10.898 Å; angles 90.00, 90.00, 90.00 degrees
Sites, in units of the cell vectors:
Pd (0.000, 0.500, 0.353)
Pd (0.500, 0.500, 0.000)
Ga (0.500, 0.000, 0.879)
La (0.000, 0.500, 0.757)
La (0.500, 0.000, 0.243)
In (0.500, 0.500, 0.500)
Ga (0.000, 0.500, 0.121)
Ga (0.000, 0.000, 0.500)
Pd (0.500, 0.000, 0.647)
Pd (0.000, 0.000, 0.000)

**Crystal system**: tetragonal
**Space-group type**: P-4m2, No. 115
**DFT total energy**: -50.30 eV/cell
**Formation enthalpy at 0 K**: -0.785 eV/atom



(4)
Compound: Hg3Bi
Source: Alexandria
Functional: PBE-GGA
Structure: optimized geometry

Cell lengths 4.454, 4.454, 6.319 Å; angles 110.64, 110.64, 90.00 degrees
Sites, in units of the cell vectors:
Hg (0.500, 0.500, 0.000)
Bi (0.000, 0.000, 0.000)
Hg (0.250, 0.750, 0.500)
Hg (0.750, 0.250, 0.500)

**Crystal system**: tetragonal
**Space-group type**: I4/mmm, No. 139
**DFT total energy**: -4.38 eV/cell
**Formation enthalpy at 0 K**: 0.101 eV/atom



(5)
Compound: GeSbAu14
Source: Alexandria
Functional: PBE-GGA
Structure: optimized geometry

Cell lengths 5.926, 5.926, 9.600 Å; angles 90.00, 90.00, 117.95 degrees
Sites, in units of the cell vectors:
Au (0.160, 0.334, 0.500)
Ge (0.667, 0.333, 0.000)
Au (0.336, 0.664, 0.254)
Au (0.168, 0.341, 0.000)
Au (0.832, 0.660, 0.253)
Au (0.164, 0.836, 0.500)
Au (0.836, 0.164, 0.247)
Au (0.340, 0.168, 0.253)
Au (0.659, 0.832, 0.000)
Au (0.832, 0.660, 0.747)
Au (0.340, 0.168, 0.747)
Sb (0.160, 0.840, 0.000)
Au (0.836, 0.164, 0.753)
Au (0.666, 0.840, 0.500)
Au (0.336, 0.664, 0.746)
Au (0.665, 0.335, 0.500)

**Crystal system**: orthorhombic
**Space-group type**: Amm2, No. 38
**DFT total energy**: -53.94 eV/cell



(6)
Compound: Sr6Bi3F
Source: Alexandria
Functional: PBE-GGA
Structure: optimized geometry

Cell lengths 7.796, 10.346, 10.346 Å; angles 102.10, 90.00, 90.00 degrees
Sites, in units of the cell vectors:
Sr (0.650, 0.953, 0.047)
Bi (0.908, 0.613, 0.387)
Sr (0.150, 0.047, 0.953)
F (0.532, 0.805, 0.195)
Bi (0.976, 0.721, 0.934)
Sr (0.676, 0.579, 0.108)
Bi (0.476, 0.279, 0.066)
Sr (0.195, 0.362, 0.314)
Sr (0.176, 0.108, 0.579)
Bi (0.476, 0.934, 0.721)
Bi (0.976, 0.066, 0.279)
Sr (0.176, 0.421, 0.892)
Sr (0.695, 0.314, 0.362)
Sr (0.676, 0.892, 0.421)
Sr (0.195, 0.686, 0.638)
F (0.032, 0.195, 0.805)
Sr (0.702, 0.224, 0.776)
Bi (0.408, 0.387, 0.613)
Sr (0.202, 0.776, 0.224)
Sr (0.695, 0.638, 0.686)

**Crystal system**: orthorhombic
**Space-group type**: Cmc2_1, No. 36
**DFT total energy**: -70.70 eV/cell



(7)
Compound: DySnGe
Source: Alexandria
Functional: PBE-GGA
Structure: optimized geometry

Cell lengths 8.471, 8.471, 4.052 Å; angles 90.00, 90.00, 150.52 degrees
Sites, in units of the cell vectors:
Ge (0.554, 0.446, 0.750)
Ge (0.446, 0.554, 0.250)
Dy (0.906, 0.094, 0.750)
Dy (0.094, 0.906, 0.250)
Sn (0.742, 0.258, 0.250)
Sn (0.258, 0.742, 0.750)

**Crystal system**: orthorhombic
**Space-group type**: Cmcm, No. 63
**DFT total energy**: -30.21 eV/cell
**Formation enthalpy at 0 K**: -0.627 eV/atom



(8)
Compound: Sr2As2Pd3
Source: Alexandria
Functional: PBE-GGA
Structure: optimized geometry

Cell lengths 4.284, 5.893, 7.149 Å; angles 111.96, 90.00, 111.31 degrees
Sites, in units of the cell vectors:
Sr (0.871, 0.741, 0.235)
Pd (0.500, 0.000, 0.000)
As (0.848, 0.697, 0.772)
Pd (0.646, 0.292, 0.423)
Pd (0.354, 0.708, 0.577)
As (0.152, 0.303, 0.228)
Sr (0.129, 0.259, 0.765)

**Crystal system**: monoclinic
**Space-group type**: C2/m, No. 12
**DFT total energy**: -33.59 eV/cell
**Formation enthalpy at 0 K**: -0.765 eV/atom



(9)
Compound: HfMgCu
Source: Alexandria
Functional: PBE-GGA
Structure: optimized geometry

Cell lengths 3.057, 4.775, 8.205 Å; angles 83.16, 90.00, 108.67 degrees
Sites, in units of the cell vectors:
Cu (0.893, 0.786, 0.236)
Mg (0.626, 0.251, 0.073)
Hf (0.839, 0.677, 0.611)
Mg (0.374, 0.749, 0.927)
Cu (0.107, 0.214, 0.764)
Hf (0.161, 0.323, 0.389)

**Crystal system**: monoclinic
**Space-group type**: C2/m, No. 12
**DFT total energy**: -30.36 eV/cell
**Formation enthalpy at 0 K**: 0.155 eV/atom



(10)
Compound: Cs16Au5Br3
Source: Alexandria
Functional: PBE-GGA
Structure: optimized geometry

Cell lengths 10.536, 10.536, 17.457 Å; angles 89.84, 89.84, 59.91 degrees
Sites, in units of the cell vectors:
Cs (0.165, 0.165, 0.907)
Br (0.662, 0.167, 0.286)
Cs (0.833, 0.833, 0.404)
Cs (0.167, 0.669, 0.903)
Cs (0.491, 0.491, 0.158)
Cs (0.510, 0.981, 0.659)
Au (0.338, 0.833, 0.784)
Cs (0.488, 0.020, 0.157)
Au (0.668, 0.668, 0.525)
Au (0.167, 0.167, 0.284)
Br (0.167, 0.662, 0.286)
Cs (0.666, 0.666, 0.899)
Cs (0.981, 0.510, 0.659)
Au (0.336, 0.336, 0.026)
Br (0.833, 0.833, 0.785)
Cs (0.004, 0.004, 0.672)
Cs (0.020, 0.488, 0.157)
Cs (0.669, 0.167, 0.903)
Cs (0.833, 0.329, 0.407)
Cs (0.512, 0.512, 0.659)
Cs (0.001, 0.001, 0.171)
Cs (0.329, 0.833, 0.407)
Au (0.833, 0.338, 0.784)
Cs (0.329, 0.329, 0.402)

**Crystal system**: monoclinic
**Space-group type**: Cm, No. 8
**DFT total energy**: -48.77 eV/cell



(11)
Compound: Sr2AuI6
Source: Alexandria
Functional: PBE-GGA
Structure: optimized geometry

Cell lengths 7.814, 7.814, 13.834 Å; angles 90.00, 90.00, 90.00 degrees
Each line ends with the local moment (μB).
Sites, in units of the cell vectors:
I (0.319, 0.319, 0.353)  0.10
Sr (0.500, 0.500, 0.163)  0.00
I (0.798, 0.202, 0.500)  0.00
Sr (0.000, 0.000, 0.663)  0.00
I (0.298, 0.298, 0.000)  0.00
I (0.181, 0.819, 0.147)  0.10
Au (0.000, 0.000, 0.000)  0.25
Au (0.500, 0.500, 0.500)  0.25
I (0.202, 0.798, 0.500)  0.00
I (0.319, 0.319, 0.647)  0.10
Sr (0.000, 0.000, 0.337)  0.00
I (0.681, 0.681, 0.647)  0.10
I (0.819, 0.181, 0.853)  0.10
I (0.681, 0.681, 0.353)  0.10
I (0.702, 0.702, 0.000)  0.00
I (0.181, 0.819, 0.853)  0.10
Sr (0.500, 0.500, 0.837)  0.00
I (0.819, 0.181, 0.147)  0.10

**Crystal system**: tetragonal
**Space-group type**: P4_2/mnm, No. 136
**DFT total energy**: -50.35 eV/cell



(12)
Compound: Li2GaSn
Source: Alexandria
Functional: PBE-GGA
Structure: optimized geometry

Cell lengths 7.567, 7.567, 6.077 Å; angles 51.50, 51.50, 90.00 degrees
Sites, in units of the cell vectors:
Ga (0.250, 0.750, 0.500)
Sn (0.000, 0.000, 0.000)
Li (0.608, 0.125, 0.250)
Li (0.375, 0.392, 0.750)
Sn (0.750, 0.250, 0.500)
Li (0.875, 0.858, 0.750)
Ga (0.500, 0.500, 0.000)
Li (0.142, 0.625, 0.250)

**Crystal system**: tetragonal
**Space-group type**: I-42d, No. 122
**DFT total energy**: -22.21 eV/cell
**Formation enthalpy at 0 K**: -0.061 eV/atom



(13)
Compound: Cs2LiTl3
Source: Alexandria
Functional: PBE-GGA
Structure: optimized geometry

Cell lengths 7.680, 9.092, 8.362 Å; angles 103.36, 90.00, 114.98 degrees
Sites, in units of the cell vectors:
Li (0.818, 0.000, 0.250)
Cs (0.678, 0.354, 0.586)
Cs (0.322, 0.646, 0.414)
Tl (0.893, 0.784, 0.946)
Cs (0.324, 0.646, 0.914)
Tl (0.107, 0.216, 0.054)
Tl (0.231, 0.000, 0.250)
Cs (0.676, 0.354, 0.086)
Tl (0.109, 0.216, 0.554)
Tl (0.769, 0.000, 0.750)
Li (0.182, 0.000, 0.750)
Tl (0.891, 0.784, 0.446)

**Crystal system**: monoclinic
**Space-group type**: C2/c, No. 15
**DFT total energy**: -22.13 eV/cell
**Formation enthalpy at 0 K**: -0.058 eV/atom



(14)
Compound: Tl3Br4N2
Source: Alexandria
Functional: PBE-GGA
Structure: optimized geometry

Cell lengths 8.997, 9.943, 8.878 Å; angles 124.05, 106.16, 90.00 degrees
Sites, in units of the cell vectors:
Br (0.327, 0.740, 0.343)
N (0.947, 0.993, 0.517)
Br (0.173, 0.398, 0.657)
Br (0.673, 0.260, 0.657)
N (0.447, 0.524, 0.517)
Br (0.465, 0.168, 0.970)
Br (0.035, 0.198, 0.030)
Br (0.535, 0.832, 0.030)
Br (0.965, 0.802, 0.970)
Tl (0.817, 0.260, 0.299)
N (0.053, 0.007, 0.483)
Tl (0.183, 0.740, 0.701)
Tl (0.250, 0.396, 0.000)
Br (0.827, 0.602, 0.343)
Tl (0.683, 0.961, 0.701)
Tl (0.750, 0.604, 0.000)
Tl (0.317, 0.039, 0.299)
N (0.553, 0.476, 0.483)

**Crystal system**: monoclinic
**Space-group type**: C2/c, No. 15
**DFT total energy**: -69.89 eV/cell



(15)
Compound: KGaI2O
Source: Alexandria
Functional: PBE-GGA
Structure: optimized geometry

Cell lengths 6.564, 6.564, 5.105 Å; angles 90.00, 90.00, 90.00 degrees
Each line ends with the local moment (μB).
Sites, in units of the cell vectors:
K (0.000, 0.000, 0.000)  0.00
I (0.500, 0.000, 0.000)  0.16
O (0.000, 0.000, 0.500)  1.21
I (0.000, 0.500, 0.000)  0.16
Ga (0.500, 0.500, 0.500)  0.00

**Crystal system**: tetragonal
**Space-group type**: P4/mmm, No. 123
**DFT total energy**: -12.14 eV/cell



(16)
Compound: ZnCd3In
Source: Alexandria
Functional: PBE-GGA
Structure: optimized geometry

Cell lengths 5.627, 5.627, 5.627 Å; angles 90.00, 90.00, 90.00 degrees
Sites, in units of the cell vectors:
Cd (0.000, 0.000, 0.500)
Cd (0.500, 0.000, 0.000)
In (0.000, 0.000, 0.000)
Zn (0.500, 0.500, 0.500)
Cd (0.000, 0.500, 0.000)

**Crystal system**: cubic
**Space-group type**: Pm-3m, No. 221
**DFT total energy**: -4.72 eV/cell
**Formation enthalpy at 0 K**: 0.407 eV/atom